[1]
Density functional theory data (GGA-PBE) for a relaxed CaAl2F10 crystal.

Structure (POSCAR):
```
CaAl2F10
1.0
4.527 -3.236 0.000
4.527 3.236 0.000
-3.259 0.000 6.473
Ca Al F
1 2 10
Direct
0.000 0.000 0.000 Ca
0.508 0.476 0.248 Al
0.524 0.492 0.752 Al
0.219 0.690 0.781 F
0.279 0.272 0.116 F
0.310 0.781 0.219 F
0.421 0.169 0.621 F
0.469 0.531 0.500 F
0.601 0.399 0.000 F
0.728 0.721 0.884 F
0.804 0.195 0.706 F
0.805 0.196 0.294 F
0.831 0.579 0.379 F
```

Values from the calculation:
ρ: 2.49 g cm⁻³
Formation energy from raw total energies: -2.997 eV per atom

---

[2]
Density functional theory data (GGA-PBE) for a relaxed Ca2AlF7 crystal.

Structure (POSCAR):
```
Ca2AlF7
1.0
7.793 0.000 0.000
0.000 7.092 0.000
0.000 0.000 9.641
Ca Al F
8 4 28
Direct
0.117 0.250 0.242 Ca
0.194 0.750 0.398 Ca
0.306 0.250 0.898 Ca
0.383 0.750 0.742 Ca
0.617 0.250 0.258 Ca
0.694 0.750 0.102 Ca
0.806 0.250 0.602 Ca
0.883 0.750 0.758 Ca
0.189 0.750 0.058 Al
0.311 0.250 0.558 Al
0.689 0.750 0.442 Al
0.811 0.250 0.942 Al
0.031 0.250 0.009 F
0.096 0.250 0.627 F
0.126 0.750 0.631 F
0.132 0.572 0.187 F
0.132 0.928 0.187 F
0.249 0.074 0.427 F
0.249 0.426 0.427 F
0.251 0.574 0.927 F
0.251 0.926 0.927 F
0.368 0.072 0.687 F
0.368 0.428 0.687 F
0.374 0.250 0.131 F
0.404 0.750 0.127 F
0.469 0.750 0.509 F
0.531 0.250 0.491 F
0.596 0.250 0.873 F
0.626 0.750 0.869 F
0.632 0.572 0.313 F
0.632 0.928 0.313 F
0.749 0.074 0.073 F
0.749 0.426 0.073 F
0.751 0.574 0.573 F
0.751 0.926 0.573 F
0.868 0.072 0.813 F
0.868 0.428 0.813 F
0.874 0.250 0.369 F
0.904 0.750 0.373 F
0.969 0.750 0.991 F
```

Values from the calculation:
ρ: 2.99 g cm⁻³
Formation energy from raw total energies: -3.795 eV per atom

---

[3]
Density functional theory data (GGA-PBE) for a relaxed Ca2AlF6 crystal.

Structure (POSCAR):
```
Ca2AlF6
1.0
5.443 0.000 0.000
0.000 6.540 0.000
-5.430 0.000 7.871
Ca Al F
4 2 12
Direct
0.247 0.001 0.247 Ca
0.247 0.499 0.747 Ca
0.753 0.501 0.253 Ca
0.753 0.999 0.753 Ca
0.000 0.000 0.500 Al
0.000 0.500 0.000 Al
0.042 0.165 0.670 F
0.042 0.335 0.170 F
0.294 0.132 0.500 F
0.294 0.368 0.000 F
0.297 0.666 0.169 F
0.297 0.834 0.669 F
0.703 0.166 0.331 F
0.703 0.334 0.831 F
0.706 0.632 0.000 F
0.706 0.868 0.500 F
0.958 0.665 0.830 F
0.958 0.835 0.330 F
```

Values from the calculation:
ρ: 2.62 g cm⁻³
Formation energy from raw total energies: -3.458 eV per atom